[1]
The following is a PBE calculation of crystalline ScRe3 at its relaxed geometry, from Alexandria.

Summary:
The calculation puts the volume at 63.2 Å³/f.u. The density of states at the Fermi level comes out at 5.7 states/eV/cell. For the formation energy, the calculation gives -0.0173 eV/atom. As for the space group: No. 63. The crystal system is orthorhombic. The calculation puts the total energy at -10.936 eV per atom.

a b c (Å): 5.478 5.478 4.454
angles (deg): 90.00 90.00 108.99
Sites, in units of the cell vectors:
Sc  0.622  0.378  0.250
Sc  0.378  0.622  0.750
Re  0.369  0.114  0.750
Re  0.871  0.129  0.750
Re  0.114  0.369  0.250
Re  0.886  0.631  0.750
Re  0.129  0.871  0.250
Re  0.631  0.886  0.250

[2]
The following is a PBE calculation of crystalline GaCoCuAu at its relaxed geometry, from Alexandria.

Summary:
The calculation puts the volume at 55.6 Å³/f.u. The density of states at the Fermi level comes out at 2.5 states/eV/cell. For the formation energy, the calculation gives 0.0092 eV/atom. As for the space group: No. 216. The crystal system is cubic. The calculation puts the total energy at -4.367 eV per atom.

a b c (Å): 4.285 4.285 4.285
angles (deg): 60.00 60.00 60.00
Sites, in units of the cell vectors:
Co  0.000  0.000  0.000
Au  0.500  0.500  0.500
Cu  0.250  0.250  0.250
Ga  0.750  0.750  0.750

[3]
The following is a PBE calculation of crystalline Ac2Cd2Pd5Pb at its relaxed geometry, from Alexandria.

Summary:
The calculation puts the volume at 225.2 Å³/f.u. The density of states at the Fermi level comes out at 10.4 states/eV/cell. For the formation energy, the calculation gives -0.4654 eV/atom. As for the space group: No. 127. The crystal system is tetragonal. The calculation puts the total energy at -4.437 eV per atom.

a b c (Å): 3.876 10.780 10.780
angles (deg): 90.00 90.00 90.00
Sites, in units of the cell vectors:
Ac  0.000  0.675  0.175
Ac  0.000  0.325  0.825
Ac  0.000  0.175  0.325
Ac  0.000  0.825  0.675
Cd  0.000  0.124  0.624
Cd  0.000  0.876  0.376
Cd  0.000  0.624  0.876
Cd  0.000  0.376  0.124
Pd  0.500  0.205  0.043
Pd  0.500  0.795  0.957
Pd  0.500  0.043  0.795
Pd  0.500  0.705  0.457
Pd  0.500  0.957  0.205
Pd  0.500  0.295  0.543
Pd  0.500  0.543  0.705
Pd  0.500  0.457  0.295
Pd  0.500  0.500  0.000
Pd  0.500  0.000  0.500
Pb  0.000  0.000  0.000
Pb  0.000  0.500  0.500